(1)
! Dy8Tl2Bi | Alexandria | GGA-PBE | relaxed; values from VASP
&SYSTEM
  ibrav = 0, nat = 11, ntyp = 3
/
ATOMIC_SPECIES
Dy 162.50 Dy.upf
Tl 204.38 Tl.upf
Bi 208.98 Bi.upf
ATOMIC_POSITIONS angstrom
Dy 0.4624 1.6642 3.2994
Dy 4.3797 4.0324 0.0000
Dy 0.4624 -1.6642 3.2994
Dy 3.1022 0.0000 1.0833
Dy 3.4906 0.0000 4.1999
Dy 6.1305 1.6642 1.9838
Dy 4.3797 -4.0324 0.0000
Dy 6.1305 -1.6642 1.9838
Tl 3.2964 2.8393 2.6416
Tl 3.2964 -2.8393 2.6416
Bi 0.0000 0.0000 0.0000
CELL_PARAMETERS angstrom
4.3797 -7.3011 0.0000
4.3797 7.3011 0.0000
-2.1666 0.0000 5.2832
! Formation energy in eV per atom: -0.144
! Total magnetic moment in μB/f.u.: 0.00
! DOS(E_F) in states/eV/atom: 1.331
! Symmetry: No. 12
! Final energy in eV per cell: -47.01



(2)
! Dy5TlBi2 | Alexandria | GGA-PBE | relaxed; values from VASP
&SYSTEM
  ibrav = 0, nat = 16, ntyp = 3
/
ATOMIC_SPECIES
Dy 162.50 Dy.upf
Tl 204.38 Tl.upf
Bi 208.98 Bi.upf
ATOMIC_POSITIONS angstrom
Dy 2.8874 4.9813 8.8400
Dy 2.8874 4.9813 13.3108
Dy 2.8874 1.4106 8.1155
Dy 2.8874 1.4106 14.0353
Dy 2.8874 0.8654 3.6918
Dy 2.8874 -0.8654 11.0754
Dy 2.8874 -1.4106 0.7319
Dy 2.8874 -1.4106 6.6517
Dy 2.8874 -4.9813 1.4564
Dy 2.8874 -4.9813 5.9272
Tl 2.8874 2.4921 11.0754
Tl 2.8874 -2.4921 3.6918
Bi 2.8874 3.4545 1.7096
Bi 2.8874 3.4545 5.6739
Bi 2.8874 -3.4545 9.0932
Bi 2.8874 -3.4545 13.0575
CELL_PARAMETERS angstrom
2.8874 -5.8423 0.0000
2.8874 5.8423 0.0000
0.0000 0.0000 14.7672
! Formation energy in eV per atom: -0.259
! Total magnetic moment in μB/f.u.: 0.00
! DOS(E_F) in states/eV/atom: 0.983
! Symmetry: No. 63
! Final energy in eV per cell: -70.43



(3)
! Dy8TlBi5 | Alexandria | GGA-PBE | relaxed; values from VASP
&SYSTEM
  ibrav = 0, nat = 14, ntyp = 3
/
ATOMIC_SPECIES
Dy 162.50 Dy.upf
Tl 204.38 Tl.upf
Bi 208.98 Bi.upf
ATOMIC_POSITIONS angstrom
Dy 4.0199 3.0515 -2.8092
Dy 4.0102 1.7005 0.4974
Dy 2.9894 -0.6797 4.2089
Dy 0.6699 1.6383 1.8971
Dy 1.7005 5.3695 -0.4974
Dy 1.6383 -0.6699 7.5155
Dy 3.0515 5.3597 2.8092
Dy 0.6797 2.9894 5.2037
Tl 0.0000 0.0000 4.7063
Bi 1.1531 2.3501 -1.1508
Bi 7.0296 1.1531 1.1508
Bi 3.5368 2.3397 3.5555
Bi 0.0000 4.6898 2.3532
Bi -2.3397 3.5368 5.8571
CELL_PARAMETERS angstrom
-4.6898 4.6898 4.7063
4.6898 -4.6898 4.7063
4.6898 4.6898 -4.7063
! Formation energy in eV per atom: -0.661
! Total magnetic moment in μB/f.u.: 0.01
! DOS(E_F) in states/eV/atom: 1.171
! Symmetry: No. 82
! Final energy in eV per cell: -67.85



Look up the DOS(E_F) of the third one.
1.171 states/eV/atom



formation energy of number 1 (Dy8Tl2Bi)?
-0.144 eV per atom



Copy entry 1 word for word.
! Dy8Tl2Bi | Alexandria | GGA-PBE | relaxed; values from VASP
&SYSTEM
  ibrav = 0, nat = 11, ntyp = 3
/
ATOMIC_SPECIES
Dy 162.50 Dy.upf
Tl 204.38 Tl.upf
Bi 208.98 Bi.upf
ATOMIC_POSITIONS angstrom
Dy 0.4624 1.6642 3.2994
Dy 4.3797 4.0324 0.0000
Dy 0.4624 -1.6642 3.2994
Dy 3.1022 0.0000 1.0833
Dy 3.4906 0.0000 4.1999
Dy 6.1305 1.6642 1.9838
Dy 4.3797 -4.0324 0.0000
Dy 6.1305 -1.6642 1.9838
Tl 3.2964 2.8393 2.6416
Tl 3.2964 -2.8393 2.6416
Bi 0.0000 0.0000 0.0000
CELL_PARAMETERS angstrom
4.3797 -7.3011 0.0000
4.3797 7.3011 0.0000
-2.1666 0.0000 5.2832
! Formation energy in eV per atom: -0.144
! Total magnetic moment in μB/f.u.: 0.00
! DOS(E_F) in states/eV/atom: 1.331
! Symmetry: No. 12
! Final energy in eV per cell: -47.01